No. 1
Entry from Alexandria: an optimized crystal structure of Ac2HfAu (PBE).

## Properties
E_form = 0.37 eV/atom
Fermi-level density of states = 4.86 states/eV/f.u.
Calculated volume = 32.5 Å³/atom
Raw total energy = -4.996 eV/atom

Structure (CIF):
```
data_Ac2HfAu
_chemical_formula_sum 'Ac6 Hf3 Au3'
_space_group_name_H-M_alt 'R -3 m'
_space_group_IT_number 166
_space_group_name_Hall '-R 3 2"'
_cell_length_a 3.6170
_cell_length_b 3.6170
_cell_length_c 34.4348
_cell_angle_alpha 90.00
_cell_angle_beta 90.00
_cell_angle_gamma 120.00
loop_
_atom_site_label
_atom_site_type_symbol
_atom_site_fract_x
_atom_site_fract_y
_atom_site_fract_z
Ac1 Ac 0.0000 0.0000 0.0946
Hf1 Hf 0.0000 0.0000 0.0000
Au1 Au 0.0000 0.0000 0.5000
```

No. 2
Entry from Alexandria: an optimized crystal structure of AcHf2AuO8 (PBE).

## Properties
Formation energy without anion corrections = -2.2698 eV/atom
Fermi-level density of states = 3.28 states/eV/f.u.
Calculated volume = 14.2 Å³/atom
Raw total energy = -7.850 eV/atom

Structure (CIF):
```
data_AcHf2AuO8
_chemical_formula_sum 'Ac1 Hf2 Au1 O8'
_space_group_name_H-M_alt 'P 1 2/m 1'
_space_group_IT_number 10
_space_group_name_Hall '-P 2y'
_cell_length_a 5.0210
_cell_length_b 6.7360
_cell_length_c 5.0243
_cell_angle_alpha 90.00
_cell_angle_beta 91.69
_cell_angle_gamma 90.00
loop_
_atom_site_label
_atom_site_type_symbol
_atom_site_fract_x
_atom_site_fract_y
_atom_site_fract_z
Ac1 Ac 0.0000 0.0000 0.0000
Hf1 Hf 0.5000 0.2555 0.5000
Au1 Au 0.0000 0.5000 0.0000
O1 O 0.2109 0.2895 0.2068
O2 O 0.2964 0.5000 0.6994
O3 O 0.3299 0.0000 0.6646
```

No. 3
Entry from Alexandria: an optimized crystal structure of Ac2Hg3Au4 (PBE).

## Properties
E_form = -0.49 eV/atom
Fermi-level density of states = 6.25 states/eV/f.u.
Calculated volume = 25.5 Å³/atom
Raw total energy = -2.956 eV/atom

Structure (CIF):
```
data_Ac2Hg3Au4
_chemical_formula_sum 'Ac8 Hg12 Au16'
_space_group_name_H-M_alt 'C m c e'
_space_group_IT_number 64
_space_group_name_Hall '-C 2ac 2'
_cell_length_a 6.4574
_cell_length_b 16.4773
_cell_length_c 8.6316
_cell_angle_alpha 90.00
_cell_angle_beta 90.00
_cell_angle_gamma 90.00
loop_
_atom_site_label
_atom_site_type_symbol
_atom_site_fract_x
_atom_site_fract_y
_atom_site_fract_z
Ac1 Ac 0.0000 0.1223 0.0746
Hg1 Hg 0.0000 0.0000 0.5000
Hg2 Hg 0.2500 0.2093 0.7500
Au1 Au 0.0000 0.1794 0.4511
Au2 Au 0.2500 0.0326 0.7500
```

No. 4
Entry from Alexandria: an optimized crystal structure of Ac4Hg5Au2 (PBE).

## Properties
E_form = -0.56 eV/atom
Fermi-level density of states = 7.41 states/eV/f.u.
Calculated volume = 30.8 Å³/atom
Raw total energy = -2.783 eV/atom

Structure (CIF):
```
data_Ac4Hg5Au2
_chemical_formula_sum 'Ac4 Hg5 Au2'
_space_group_name_H-M_alt 'P 1 2/m 1'
_space_group_IT_number 10
_space_group_name_Hall '-P 2y'
_cell_length_a 8.2903
_cell_length_b 4.1277
_cell_length_c 9.9000
_cell_angle_alpha 90.00
_cell_angle_beta 90.21
_cell_angle_gamma 90.00
loop_
_atom_site_label
_atom_site_type_symbol
_atom_site_fract_x
_atom_site_fract_y
_atom_site_fract_z
Ac1 Ac 0.2049 0.0000 0.1436
Ac2 Ac 0.2376 0.0000 0.5949
Hg1 Hg 0.1451 0.5000 0.8736
Hg2 Hg 0.4386 0.5000 0.3449
Hg3 Hg 0.5000 0.5000 0.0000
Au1 Au 0.0745 0.5000 0.3696
```

No. 5
Entry from Alexandria: an optimized crystal structure of Ac3Hg7Au4 (PBE).

## Properties
E_form = -0.46 eV/atom
Fermi-level density of states = 7.11 states/eV/f.u.
Calculated volume = 26.2 Å³/atom
Raw total energy = -2.424 eV/atom

Structure (CIF):
```
data_Ac3Hg7Au4
_chemical_formula_sum 'Ac6 Hg14 Au8'
_space_group_name_H-M_alt 'C 1 2/m 1'
_space_group_IT_number 12
_space_group_name_Hall '-C 2y'
_cell_length_a 17.8001
_cell_length_b 4.6022
_cell_length_c 10.9082
_cell_angle_alpha 90.00
_cell_angle_beta 124.91
_cell_angle_gamma 90.00
loop_
_atom_site_label
_atom_site_type_symbol
_atom_site_fract_x
_atom_site_fract_y
_atom_site_fract_z
Ac1 Ac 0.0000 0.0000 0.0000
Ac2 Ac 0.1954 0.5000 0.7052
Hg1 Hg 0.0000 0.0000 0.5000
Hg2 Hg 0.0100 0.5000 0.3082
Hg3 Hg 0.1617 0.0000 0.4376
Hg4 Hg 0.1709 0.5000 0.0149
Au1 Au 0.1237 0.0000 0.8283
Au2 Au 0.1501 0.5000 0.2523
```

No. 6
Entry from Alexandria: an optimized crystal structure of AcHgAu (PBE).

## Properties
E_form = -0.53 eV/atom
Fermi-level density of states = 2.06 states/eV/f.u.
Calculated volume = 29.0 Å³/atom
Raw total energy = -3.094 eV/atom

Structure (CIF):
```
data_AcHgAu
_chemical_formula_sum 'Ac2 Hg2 Au2'
_space_group_name_H-M_alt 'P -1'
_space_group_IT_number 2
_space_group_name_Hall '-P 1'
_cell_length_a 4.2199
_cell_length_b 6.7318
_cell_length_c 7.2405
_cell_angle_alpha 62.56
_cell_angle_beta 74.24
_cell_angle_gamma 89.53
loop_
_atom_site_label
_atom_site_type_symbol
_atom_site_fract_x
_atom_site_fract_y
_atom_site_fract_z
Ac1 Ac 0.1327 0.1641 0.1737
Hg1 Hg 0.1752 0.6231 0.2553
Au1 Au 0.4953 0.2272 0.5031
```

No. 7
Entry from Alexandria: an optimized crystal structure of AcHg3Au8 (PBE).

## Properties
E_form = -0.20 eV/atom
Fermi-level density of states = 7.30 states/eV/f.u.
Calculated volume = 22.0 Å³/atom
Raw total energy = -2.805 eV/atom

Structure (CIF):
```
data_AcHg3Au8
_chemical_formula_sum 'Ac1 Hg3 Au8'
_space_group_name_H-M_alt 'P 3 m 1'
_space_group_IT_number 156
_space_group_name_Hall 'P 3 -2"'
_cell_length_a 5.5863
_cell_length_b 5.5863
_cell_length_c 9.7486
_cell_angle_alpha 90.00
_cell_angle_beta 90.00
_cell_angle_gamma 120.00
loop_
_atom_site_label
_atom_site_type_symbol
_atom_site_fract_x
_atom_site_fract_y
_atom_site_fract_z
Ac1 Ac 0.0000 0.0000 0.0000
Hg1 Hg 0.0000 0.0000 0.3766
Hg2 Hg 0.6667 0.3333 0.5001
Hg3 Hg 0.6667 0.3333 0.8437
Au1 Au 0.1647 0.3294 0.6870
Au2 Au 0.3333 0.6667 0.4432
Au3 Au 0.3333 0.6667 0.9383
Au4 Au 0.5018 0.0036 0.1960
```

No. 8
Entry from Alexandria: an optimized crystal structure of AcHg4Au2 (PBE).

## Properties
E_form = -0.29 eV/atom
Fermi-level density of states = 3.18 states/eV/f.u.
Calculated volume = 25.7 Å³/atom
Raw total energy = -1.982 eV/atom

Structure (CIF):
```
data_AcHg4Au2
_chemical_formula_sum 'Ac2 Hg8 Au4'
_space_group_name_H-M_alt 'P 42/m n m'
_space_group_IT_number 136
_space_group_name_Hall '-P 4n 2n'
_cell_length_a 8.8141
_cell_length_b 8.8141
_cell_length_c 4.6310
_cell_angle_alpha 90.00
_cell_angle_beta 90.00
_cell_angle_gamma 90.00
loop_
_atom_site_label
_atom_site_type_symbol
_atom_site_fract_x
_atom_site_fract_y
_atom_site_fract_z
Ac1 Ac 0.0000 0.0000 0.0000
Hg1 Hg 0.1019 0.3476 0.5000
Au1 Au 0.1781 0.8219 0.5000
```

No. 9
Entry from Alexandria: an optimized crystal structure of Ac6Hg3Au (PBE).

## Properties
E_form = -0.40 eV/atom
Fermi-level density of states = 9.83 states/eV/f.u.
Calculated volume = 35.8 Å³/atom
Raw total energy = -3.280 eV/atom

Structure (CIF):
```
data_Ac6Hg3Au
_chemical_formula_sum 'Ac12 Hg6 Au2'
_space_group_name_H-M_alt 'P 1 21/m 1'
_space_group_IT_number 11
_space_group_name_Hall '-P 2yb'
_cell_length_a 10.7631
_cell_length_b 5.3875
_cell_length_c 13.4516
_cell_angle_alpha 90.00
_cell_angle_beta 113.48
_cell_angle_gamma 90.00
loop_
_atom_site_label
_atom_site_type_symbol
_atom_site_fract_x
_atom_site_fract_y
_atom_site_fract_z
Ac1 Ac 0.0006 0.2500 0.3826
Ac2 Ac 0.1085 0.2500 0.1171
Ac3 Ac 0.2021 0.2500 0.8498
Ac4 Ac 0.3210 0.7500 0.5366
Ac5 Ac 0.4405 0.7500 0.2753
Ac6 Ac 0.4639 0.7500 0.8852
Hg1 Hg 0.1234 0.7500 0.2761
Hg2 Hg 0.2477 0.7500 0.0133
Hg3 Hg 0.3358 0.2500 0.3840
Au1 Au 0.2264 0.2500 0.6254
```

No. 10
Entry from Alexandria: an optimized crystal structure of Ac2Hg3Au4 (PBE).

## Properties
E_form = -0.53 eV/atom
Fermi-level density of states = 4.27 states/eV/f.u.
Calculated volume = 25.7 Å³/atom
Raw total energy = -3.001 eV/atom

Structure (CIF):
```
data_Ac2Hg3Au4
_chemical_formula_sum 'Ac2 Hg3 Au4'
_space_group_name_H-M_alt 'P -3 m 1'
_space_group_IT_number 164
_space_group_name_Hall '-P 3 2"'
_cell_length_a 5.0375
_cell_length_b 5.0375
_cell_length_c 10.5069
_cell_angle_alpha 90.00
_cell_angle_beta 90.00
_cell_angle_gamma 120.00
loop_
_atom_site_label
_atom_site_type_symbol
_atom_site_fract_x
_atom_site_fract_y
_atom_site_fract_z
Ac1 Ac 0.3333 0.6667 0.2247
Hg1 Hg 0.0000 0.0000 0.0000
Hg2 Hg 0.3333 0.6667 0.5848
Au1 Au 0.0000 0.0000 0.3638
Au2 Au 0.3333 0.6667 0.9175
```

No. 11
Entry from Alexandria: an optimized crystal structure of Ac2Hg2Au15 (PBE).

## Properties
E_form = -0.32 eV/atom
Fermi-level density of states = 6.55 states/eV/f.u.
Calculated volume = 21.2 Å³/atom
Raw total energy = -3.372 eV/atom

Structure (CIF):
```
data_Ac2Hg2Au15
_chemical_formula_sum 'Ac6 Hg6 Au45'
_space_group_name_H-M_alt 'R -3 m'
_space_group_IT_number 166
_space_group_name_Hall '-R 3 2"'
_cell_length_a 9.8205
_cell_length_b 9.8205
_cell_length_c 14.4921
_cell_angle_alpha 90.00
_cell_angle_beta 90.00
_cell_angle_gamma 120.00
loop_
_atom_site_label
_atom_site_type_symbol
_atom_site_fract_x
_atom_site_fract_y
_atom_site_fract_z
Ac1 Ac 0.0000 0.0000 0.1554
Hg1 Hg 0.0000 0.0000 0.3974
Au1 Au 0.0000 0.3075 0.5000
Au2 Au 0.0000 0.5000 0.0000
Au3 Au 0.0121 0.5061 0.6501
```

No. 12
Entry from Alexandria: an optimized crystal structure of Ac4Hg3Au (PBE).

## Properties
E_form = -0.55 eV/atom
Fermi-level density of states = 8.51 states/eV/f.u.
Calculated volume = 32.3 Å³/atom
Raw total energy = -3.129 eV/atom

Structure (CIF):
```
data_Ac4Hg3Au
_chemical_formula_sum 'Ac4 Hg3 Au1'
_space_group_name_H-M_alt 'P 4/m m m'
_space_group_IT_number 123
_space_group_name_Hall '-P 4 2'
_cell_length_a 4.0050
_cell_length_b 4.0050
_cell_length_c 16.1118
_cell_angle_alpha 90.00
_cell_angle_beta 90.00
_cell_angle_gamma 90.00
loop_
_atom_site_label
_atom_site_type_symbol
_atom_site_fract_x
_atom_site_fract_y
_atom_site_fract_z
Ac1 Ac 0.0000 0.0000 0.1161
Ac2 Ac 0.0000 0.0000 0.3725
Hg1 Hg 0.5000 0.5000 0.2477
Hg2 Hg 0.5000 0.5000 0.5000
Au1 Au 0.5000 0.5000 0.0000
```